# 1
Computed, not measured: Pr4Cd5Ag after structural relaxation at the PBE-GGA level of DFT.

Cell: 5.2395 6.7144 8.6028 Å, 107.00 107.73 90.00°
Positions (direct):
Cd 0.0967 0.4149 0.1933
Cd 0.5000 0.5000 0.0000
Cd 0.7020 0.8105 0.4041
Cd 0.2980 0.1895 0.5959
Cd 0.9033 0.5851 0.8067
Pr 0.3133 0.6853 0.6267
Pr 0.0965 0.8877 0.1930
Pr 0.9035 0.1123 0.8070
Pr 0.6867 0.3147 0.3733
Ag 0.5000 0.0000 0.0000

Computed properties:
For the distance to the lowest polymorph of the same formula, the calculation gives 0.000 eV/f.u.

***

# 2
Computed, not measured: PrCd5Ag7 after structural relaxation at the PBE-GGA level of DFT.

Cell: 5.6703 7.4861 7.4861 Å, 82.14 67.75 67.75°
Positions (direct):
Ag 0.0018 0.3493 0.6472
Ag 0.0018 0.6472 0.3493
Ag 0.5019 0.2150 0.7812
Ag 0.6439 0.3561 0.3561
Ag 0.3441 0.6559 0.6559
Ag 0.2910 0.2090 0.2090
Ag 0.5019 0.7812 0.2150
Pr 0.9936 0.0064 0.0064
Cd 0.0023 0.4937 0.0024
Cd 0.5015 0.0024 0.4937
Cd 0.5015 0.4937 0.0024
Cd 0.7123 0.7877 0.7877
Cd 0.0023 0.0024 0.4937

***

# 3
Computed, not measured: PrCd3Ag after structural relaxation at the PBE-GGA level of DFT.

Cell: 5.7915 7.0312 7.0313 Å, 120.02 90.00 90.00°
Positions (direct):
Cd 0.7501 0.1938 0.3880
Cd 0.7500 0.1939 0.8060
Cd 0.7500 0.6120 0.8062
Cd 0.2499 0.8062 0.6120
Cd 0.2500 0.3880 0.1938
Cd 0.2500 0.8061 0.1940
Pr 0.2500 0.3334 0.6666
Pr 0.7500 0.6666 0.3334
Ag 0.0000 0.0000 0.0000
Ag 0.5000 0.0000 0.0000

Computed properties:
For the distance to the lowest polymorph of the same formula, the calculation gives 0.222 eV/f.u.

***

# 4
Computed, not measured: Pr2Cd5Ag5 after structural relaxation at the PBE-GGA level of DFT.

Cell: 4.7856 5.7635 9.9110 Å, 90.00 90.00 90.00°
Positions (direct):
Ag 0.5000 0.0000 0.0000
Ag 0.0000 0.5000 0.3339
Ag 0.0000 0.0000 0.8364
Ag 0.0000 0.5000 0.6661
Ag 0.0000 0.0000 0.1636
Cd 0.5000 0.2500 0.2451
Cd 0.5000 0.7500 0.7549
Cd 0.5000 0.5000 0.5000
Cd 0.5000 0.7500 0.2451
Cd 0.5000 0.2500 0.7549
Pr 0.0000 0.0000 0.5000
Pr 0.0000 0.5000 0.0000

***

What are the energy of formation from the pure elements values for these records? In order: -277, -86, -180, -216 meV/atom.
What are the VASP energy values for these records? In order: -29.31, -30.43, -11.28, -30.98 eV per formula unit.
What are the magnetization values for these records? In order: 0.00, 0.00, 0.00, 0.00 μB/cell.